The following is a DFT calculation (PBE) of an optimized crystal structure of SmTmThZr.

It has space group F-43m (No. 216), with a = 7.7590 Å, b = 7.7590 Å, c = 7.7590 Å, α = 90.00°, β = 90.00° and γ = 90.00°. Symmetry generates all atoms from Sm at (0.0000, 0.0000, 0.0000), Tm at (0.2500, 0.2500, 0.2500), Th at (0.0000, 0.0000, 0.5000) and Zr at (0.2500, 0.2500, 0.7500).

For the calculated volume, the calculation gives 29.194 Å³ per atom. As for the formation energy: 158 meV/atom. For the total DFT energy (no corrections), the calculation gives -6.13 eV per atom. The value obtained for the density of states at the Fermi level is 24.74 states/eV/cell.